Density functional theory data (PBE) for crystalline Pm2Al6ZnAg at its relaxed geometry.

Results
* Fermi-level density of states: 30.60 states/eV/cell
* formation energy: -0.1036 eV per atom

a = 6.3755 Å, b = 6.3755 Å, c = 36.2942 Å
α = 90.00°, β = 90.00°, γ = 120.00°
Closest atoms and distances in Å follow each position.
Space group R-3m (No. 166, hexagonal axes)
One atom of each set of equivalent atoms:
1 Pm 0.0000 0.0000 0.1388 x6  12 Al 3.16-3.36
2 Pm 0.0000 0.0000 0.3121 x6  12 Al 3.45-3.81, 3 Ag 3.76
3 Al 0.0508 0.5254 0.7235 x18  1 Zn 2.40, 1 Ag 2.59
4 Al 0.0624 0.5312 0.8821 x18  1 Zn 2.44, 2 Al 2.59
5 Zn 0.0000 0.0000 0.4211 x6  6 Al 2.40-2.44
6 Ag 0.0000 0.0000 0.0000 x3  6 Al 2.59
7 Ag 0.0000 0.0000 0.5000 x3  6 Al 2.81, 2 Zn 2.86

=====

Density functional theory data (PBE) for crystalline PmAl2ZnAg at its relaxed geometry.

Results
* Fermi-level density of states: 5.22 states/eV/cell
* formation energy: -0.3557 eV per atom

a = 4.3334 Å, b = 4.3334 Å, c = 10.7670 Å
α = 90.00°, β = 90.00°, γ = 90.00°
Closest atoms and distances in Å follow each position.
Space group I-4m2 (No. 119)
One atom of each set of equivalent atoms:
1 Pm 0.0000 0.0000 0.0000 x2  8 Al 3.31, 4 Zn 3.46, 4 Ag 3.46
2 Al 0.0000 0.0000 0.3827 x4  1 Al 2.53, 2 Zn 2.60, 2 Ag 2.60
3 Zn 0.0000 0.5000 0.2500 x2  4 Al 2.60
4 Ag 0.0000 0.5000 0.7500 x2  4 Al 2.60

=====

Density functional theory data (PBE) for crystalline Pm2Al4ZnAg3 at its relaxed geometry.

Results
* Fermi-level density of states: 5.32 states/eV/cell
* formation energy: -0.3526 eV per atom

a = 4.3610 Å, b = 4.3610 Å, c = 10.7559 Å
α = 90.00°, β = 90.00°, γ = 90.00°
Closest atoms and distances in Å follow each position.
Space group P-4m2 (No. 115)
One atom of each set of equivalent atoms:
1 Pm 0.0000 0.5000 0.2454 x2  8 Al 3.31-3.50, 6 Ag 3.35-3.42, 2 Zn 3.42
2 Al 0.0000 0.0000 0.5000 x1  4 Ag 2.61
3 Al 0.0000 0.5000 0.8672 x2  3 Ag 2.51-2.61, 2 Zn 2.61
4 Al 0.5000 0.5000 0.5000 x1  4 Ag 2.61
5 Zn 0.5000 0.5000 0.0000 x1  4 Al 2.61
6 Ag 0.0000 0.0000 0.0000 x1  4 Al 2.61
7 Ag 0.0000 0.5000 0.6333 x2  5 Al 2.51-2.61

=====

Density functional theory data (PBE) for crystalline PmAlZnAg at its relaxed geometry.

Results
* Fermi-level density of states: 5.89 states/eV/cell
* formation energy: -0.3153 eV per atom

a = 6.8604 Å, b = 6.8604 Å, c = 6.8604 Å
α = 90.00°, β = 90.00°, γ = 90.00°
Closest atoms and distances in Å follow each position.
Space group F-43m (No. 216)
One atom of each set of equivalent atoms:
1 Pm 0.0000 0.0000 0.0000 x4  4 Ag 2.97, 4 Zn 2.97
2 Al 0.0000 0.0000 0.5000 x4  4 Zn 2.97, 4 Ag 2.97
3 Zn 0.2500 0.2500 0.2500 x4  4 Pm 2.97, 4 Al 2.97
4 Ag 0.2500 0.2500 0.7500 x4  4 Pm 2.97, 4 Al 2.97

=====

Density functional theory data (PBE) for crystalline PmZrAlAg at its relaxed geometry.

Results
* Fermi-level density of states: 16.04 states/eV/cell
* formation energy: -0.1578 eV per atom

a = 7.1600 Å, b = 7.1600 Å, c = 7.1600 Å
α = 90.00°, β = 90.00°, γ = 90.00°
Closest atoms and distances in Å follow each position.
Space group F-43m (No. 216)
One atom of each set of equivalent atoms:
1 Pm 0.0000 0.0000 0.0000 x4  4 Al 3.10, 4 Ag 3.10
2 Zr 0.0000 0.0000 0.5000 x4  4 Al 3.10, 4 Ag 3.10
3 Al 0.2500 0.2500 0.7500 x4  4 Zr 3.10, 4 Pm 3.10
4 Ag 0.2500 0.2500 0.2500 x4  4 Zr 3.10, 4 Pm 3.10

=====

Density functional theory data (PBE) for crystalline Pr2Al9Ag6 at its relaxed geometry.

Results
* Fermi-level density of states: 5.36 states/eV/cell
* formation energy: -0.1786 eV per atom

a = 5.5379 Å, b = 5.5379 Å, c = 13.3105 Å
α = 90.00°, β = 90.00°, γ = 120.00°
Closest atoms and distances in Å follow each position.
Space group P6/mmm (No. 191)
One atom of each set of equivalent atoms:
1 Pr 0.0000 0.0000 0.1632 x2  6 Ag 3.20, 6 Al 3.52
2 Al 0.0000 0.5000 0.0000 x3  4 Ag 2.74, 4 Al 2.77
3 Al 0.0000 0.5000 0.3358 x6  4 Ag 2.71-2.76, 4 Al 2.77
4 Ag 0.3333 0.6667 0.1671 x4  6 Al 2.74-2.76
5 Ag 0.3333 0.6667 0.5000 x2  6 Al 2.71

=====

Density functional theory data (PBE) for crystalline PrAl2Ag6 at its relaxed geometry.

Results
* Fermi-level density of states: 44.86 states/eV/cell
* ΔE to the lowest computed polymorph: 3.68 eV per formula unit
* formation energy: 0.2340 eV per atom

a = 11.9333 Å, b = 11.9333 Å, c = 11.9333 Å
α = 90.00°, β = 90.00°, γ = 90.00°
Closest atoms and distances in Å follow each position.
Space group Fd-3m (No. 227, origin choice 2)
One atom of each set of equivalent atoms:
1 Pr 0.1250 0.1250 0.1250 x8  6 Ag 3.04
2 Al 0.0000 0.0000 0.5000 x16  6 Ag 2.55
3 Ag 0.1204 0.3750 0.8750 x48  2 Al 2.55

=====

Density functional theory data (PBE) for crystalline PrAlAg2 at its relaxed geometry.

Results
* Fermi-level density of states: 13.57 states/eV/cell
* formation energy: -0.2993 eV per atom

a = 8.5325 Å, b = 7.1707 Å, c = 5.7789 Å
α = 90.00°, β = 90.00°, γ = 90.00°
Closest atoms and distances in Å follow each position.
Space group Pnma (No. 62)
One atom of each set of equivalent atoms:
1 Pr 0.0545 0.2500 0.1474 x4  6 Ag 3.16-3.23, 3 Al 3.19-3.34
2 Al 0.1110 0.7500 0.3485 x4  6 Ag 2.67-2.84
3 Ag 0.1762 0.0509 0.6154 x8  3 Al 2.67-2.84, 1 Ag 2.86

=====

| no. | magnetization (Bohr magnetons per cell) |
| --- | --- |
| 1 | 0.0 |
| 2 | 0.0 |
| 3 | 0.0 |
| 4 | 0.0 |
| 5 | 2.7 |
| 6 | 0.0 |
| 7 | 0.0 |
| 8 | 0.0 |